! BaCoCuS3 | the Open Quantum Materials Database | PBE | relaxed; values from VASP
&SYSTEM
  ibrav = 0, nat = 12, ntyp = 4
/
ATOMIC_SPECIES
Ba 137.33 Ba.upf
Co 58.93 Co.upf
Cu 63.55 Cu.upf
S 32.06 S.upf
CELL_PARAMETERS angstrom
5.802 2.932 -1.942
-6.714 0.552 0.810
1.309 3.170 8.696
ATOMIC_POSITIONS crystal
Ba 0.756 0.244 0.250
Ba 0.244 0.756 0.750
Co 0.000 0.000 0.000
Co 0.000 0.000 0.500
Cu 0.468 0.532 0.250
Cu 0.532 0.468 0.750
S 0.387 0.613 0.035
S 0.063 0.937 0.250
S 0.387 0.613 0.465
S 0.613 0.387 0.535
S 0.937 0.063 0.750
S 0.613 0.387 0.965
! Volume: 19.2 Å³/atom
! Spin magnetization: 0.011 Bohr magnetons per cell
! Uncorrected energy: -29.437 eV/f.u.